Entry from Alexandria via LeMat-Bulk: a relaxed structure of MgHgP2Cl (PBE).

## Properties
The energy relative to the lowest polymorph listed for this composition comes out at 0 meV per atom. The formation energy (no corrections) comes out at 0.398 eV per atom. As for the density of states at the Fermi level: 2.908 states/eV/cell.

a = 5.032 Å, b = 5.032 Å, c = 4.796 Å
α = 90.00°, β = 90.00°, γ = 90.00°
Each line ends with the local moment (μB).
Positions (direct):
P1 0.000 0.500 0.000  0.27
P2 0.500 0.000 0.000  0.27
Mg1 0.000 0.000 0.000  -0.01
Hg1 0.500 0.500 0.500  -0.02
Cl1 0.000 0.000 0.500  0.11